Entry 1:
## InAg2Mo (PBE)

Data for an optimized crystal structure of InAg2Mo.

The calculation puts the formation energy at 293 meV per atom.

```
InAg2Mo
1.0
2.8751 0.0162 0.0000
-0.0146 2.8751 0.0000
0.0000 0.0000 8.7696
Ag Mo In
2 1 1
direct
0.0000 0.0000 0.9941
0.5000 0.5000 0.2428
0.5000 0.5000 0.7557
0.0000 0.0000 0.5074
```


Entry 2:
## InAg2Mo (PBE)

Data for an optimized crystal structure of InAg2Mo.

The calculation puts the formation energy at 445 meV per atom.

```
InAg2Mo
1.0
10.0186 -0.0157 -0.0092
9.5939 2.8860 -0.0092
9.5939 1.4041 2.5214
In Mo Ag
1 1 2
direct
0.2500 0.2500 0.2500
0.7500 0.7500 0.7500
0.4969 0.4969 0.4969
0.0031 0.0031 0.0031
```


Entry 3:
## NaIn2AgMo (PBE)

Data for an optimized crystal structure of NaIn2AgMo.

The calculation puts the formation energy at 627 meV per atom.

```
NaIn2AgMo
1.0
5.3116 0.0000 0.0000
0.0000 5.1803 0.0000
0.0000 0.0000 5.3116
Ag Na In Mo
1 1 2 1
direct
0.0000 0.5000 0.0000
0.5000 0.5000 0.5000
0.5000 0.0000 0.0000
0.0000 0.0000 0.5000
0.0000 0.0000 0.0000
```


| no. | energy (eV/cell) |
| --- | --- |
| 1 | -18.1 |
| 2 | -17.5 |
| 3 | -17.3 |